# 1
Below is a geometry-optimized MgZrPb2 structure, with properties calculated at the PBE-GGA level.

- Formation energy: 0.21 eV/atom
- Crystal system: tetragonal

abc: 8.0476 8.0476 6.5496
angles: 52.09 52.09 90.00
Sites, in units of the cell vectors:
Pb (0.6125, 0.1250, 0.2500)
Pb (0.1375, 0.6250, 0.2500)
Pb (0.3750, 0.3875, 0.7500)
Pb (0.8750, 0.8625, 0.7500)
Mg (0.5000, 0.5000, 0.0000)
Mg (0.2500, 0.7500, 0.5000)
Zr (0.0000, 0.0000, 0.0000)
Zr (0.7500, 0.2500, 0.5000)

---

# 2
Below is a geometry-optimized Zr2Mn15Cr2 structure, with properties calculated at the PBE-GGA level.

- Formation energy: -0.02 eV/atom
- Crystal system: trigonal

abc: 6.2095 6.2095 6.2095
angles: 81.87 81.87 81.87
Sites, in units of the cell vectors:
Zr (0.3428, 0.3428, 0.3428)
Zr (0.6572, 0.6572, 0.6572)
Mn (0.5000, 0.0000, 0.0000)
Mn (0.0000, 0.0000, 0.5000)
Mn (0.0000, 0.5000, 0.0000)
Mn (0.0000, 0.7038, 0.2962)
Mn (0.7038, 0.2962, 0.0000)
Mn (0.2962, 0.0000, 0.7038)
Mn (0.2962, 0.7038, 0.0000)
Mn (0.7038, 0.0000, 0.2962)
Mn (0.0000, 0.2962, 0.7038)
Mn (0.1617, 0.6533, 0.6533)
Mn (0.6533, 0.6533, 0.1617)
Mn (0.6533, 0.1617, 0.6533)
Mn (0.8383, 0.3467, 0.3467)
Mn (0.3467, 0.3467, 0.8383)
Mn (0.3467, 0.8383, 0.3467)
Cr (0.0921, 0.0921, 0.0921)
Cr (0.9079, 0.9079, 0.9079)

---

# 3
Below is a geometry-optimized Sr2ScTl structure, with properties calculated at the PBE-GGA level.

- Formation energy: -0.06 eV/atom
- Crystal system: orthorhombic
- Energy above the most stable polymorph in this dataset: 0.0 meV/atom

abc: 7.1029 7.1029 7.1029
angles: 147.60 131.12 59.87
Sites, in units of the cell vectors:
Sc (0.2974, 0.7974, 0.5000)
Sr (0.0089, 0.0089, 0.0000)
Sr (0.7150, 0.2150, 0.5000)
Tl (0.4786, 0.4786, 0.0000)

---

# 4
Below is a geometry-optimized YMnCl structure, with properties calculated at the PBE-GGA level.

- Crystal system: cubic
- E: -17.4 eV/f.u.

abc: 4.5829 4.5829 4.5829
angles: 60.00 60.00 60.00
Sites, in units of the cell vectors:
Cl (0.7500, 0.7500, 0.7500)
Mn (0.0000, 0.0000, 0.0000)
Y (0.5000, 0.5000, 0.5000)

---

| no. | DOS at the Fermi energy (states/eV/f.u.) | ρ (g/cm3) |
| --- | --- | --- |
| 1 | 0.85 | 8.38 |
| 2 | 29.16 | 7.92 |
| 3 | 5.54 | 4.92 |
| 4 | 2.63 | 4.37 |